[1]
First-principles (PBE) data for a relaxed structure of SrVNi3, as listed in the Alexandria database.

Geometry as POSCAR:
```
SrVNi3
1.0
-0.5219 3.0168 3.3276
-2.4922 -2.9815 2.3121
3.7367 -1.5672 2.0069
Sr Ni V
1 3 1
Direct
0.5000 0.5000 0.5000
0.0000 0.5000 0.0000
0.0000 0.0000 0.5000
0.5000 0.0000 0.0000
0.0000 0.0000 0.0000
```

Values from the calculation:
As for the total energy: -25.9 eV for the cell shown. Its offset from the most stable computed form is 0.000 eV per atom. The calculation puts the formation energy at 456 meV/atom. Its symmetry is Pm-3m, No. 221.

---

[2]
First-principles (PBE) data for a relaxed structure of Ag3Rh5, as listed in the Alexandria database.

Geometry as POSCAR:
```
Ag3Rh5
1.0
-1.4312 3.9232 -3.8036
-5.2680 -0.2769 2.0196
0.8356 2.7887 2.5620
Ag Rh
3 5
Direct
0.5000 0.5000 0.0000
0.7426 0.7426 0.5000
0.2574 0.2574 0.5000
0.0000 0.0000 0.0000
0.5000 0.0000 0.0000
0.0000 0.5000 0.0000
0.7667 0.2333 0.5000
0.2333 0.7667 0.5000
```

Values from the calculation:
As for the total energy: -42.9 eV for the cell shown. Its offset from the most stable computed form is 0.000 eV per atom. The calculation puts the formation energy at 302 meV/atom. Its symmetry is Cmmm, No. 65.

---

[3]
First-principles (PBE) data for a relaxed structure of SrZn2Ag2Au, as listed in the Alexandria database.

Geometry as POSCAR:
```
SrZn2Ag2Au
1.0
-1.6740 -1.9522 -4.1747
-2.7958 -3.1007 2.5711
-4.4562 3.9630 -0.0663
Sr Zn Ag Au
1 2 2 1
Direct
0.0000 0.0000 0.5000
0.5000 0.0000 0.0000
0.0000 0.5000 0.0000
0.5000 0.5000 0.7394
0.5000 0.5000 0.2606
0.0000 0.0000 0.0000
```

Values from the calculation:
As for the total energy: -14.1 eV for the cell shown. The calculation puts the formation energy at -151 meV/atom. Its symmetry is P4/mmm, No. 123.

---

[4]
First-principles (PBE) data for a relaxed structure of Sm12CdPt6, as listed in the Alexandria database.

Geometry as POSCAR:
```
Sm12CdPt6
1.0
8.3363 0.0000 -2.9473
-4.1681 7.2194 -2.9473
0.0000 0.0000 8.8420
Sm Cd Pt
12 1 6
Direct
0.3015 0.1214 0.8199
0.3015 0.4817 0.1801
0.6985 0.5183 0.8199
0.6985 0.8786 0.1801
0.1214 0.8199 0.3015
0.4817 0.1801 0.3015
0.5183 0.8199 0.6985
0.8786 0.1801 0.6985
0.8199 0.3015 0.1214
0.1801 0.3015 0.4817
0.8199 0.6985 0.5183
0.1801 0.6985 0.8786
0.0000 0.0000 0.0000
0.3639 0.5000 0.8639
0.6361 0.5000 0.1361
0.5000 0.8639 0.3639
0.5000 0.1361 0.6361
0.8639 0.3639 0.5000
0.1361 0.6361 0.5000
```

Values from the calculation:
As for the total energy: -108.2 eV for the cell shown. The calculation puts the formation energy at -756 meV/atom. Its symmetry is Im-3, No. 204.

---

[5]
First-principles (PBE) data for a relaxed structure of LiFeCo, as listed in the Alexandria database.

Geometry as POSCAR:
```
LiFeCo
1.0
4.1318 0.9654 1.0489
2.9003 3.0970 1.0489
6.0084 3.4710 9.3253
Li Fe Co
2 2 2
Direct
0.1469 0.1469 0.7479
0.6063 0.6063 0.5594
0.5598 0.5598 0.3611
0.1934 0.1934 0.9463
0.4264 0.4264 0.2395
0.3268 0.3268 0.0678
```

Values from the calculation:
As for the total energy: -33.8 eV for the cell shown. Its offset from the most stable computed form is 0.068 eV per atom. The calculation puts the formation energy at 193 meV/atom. Its symmetry is C2/m, No. 12.

---

[6]
First-principles (PBE) data for a relaxed structure of BeSi2Ir, as listed in the Alexandria database.

Geometry as POSCAR:
```
BeSi2Ir
1.0
2.8434 0.0000 0.0000
0.0000 3.4794 0.0000
0.0000 0.0000 5.0010
Be Si Ir
1 2 1
Direct
0.5000 0.5000 0.2500
0.0000 0.0000 0.0173
0.0000 0.0000 0.4827
0.5000 0.5000 0.7500
```

Values from the calculation:
As for the total energy: -23.5 eV for the cell shown. Its symmetry is Pmmm, No. 47. The uncorrected formation energy is -0.016 eV per atom.

---

[7]
First-principles (PBE) data for a relaxed structure of Ac7MgCo3, as listed in the Alexandria database.

Geometry as POSCAR:
```
Ac7MgCo3
1.0
7.1662 0.1333 -1.0874
-1.4399 6.9652 -1.1633
0.4424 0.1333 7.2347
Ac Mg Co
7 1 3
Direct
0.8546 0.7888 0.8546
0.9668 0.7292 0.3629
0.6371 0.2708 0.0332
0.3629 0.7292 0.9668
0.5000 0.0000 0.5000
0.0332 0.2708 0.6371
0.1454 0.2112 0.1454
0.5000 0.5000 0.5000
0.2254 0.0000 0.7746
0.0000 0.5000 0.0000
0.7746 0.0000 0.2254
```

Values from the calculation:
As for the total energy: -51.3 eV for the cell shown. The calculation puts the formation energy at 30 meV/atom. Its symmetry is C2/m, No. 12.

---

[8]
First-principles (PBE) data for a relaxed structure of InP2Cl, as listed in the Alexandria database.

Geometry as POSCAR:
```
InP2Cl
1.0
-0.6511 3.8169 1.1141
1.0539 -3.2312 2.1638
9.2097 2.0061 -1.4902
Cl In P
1 1 2
Direct
0.0000 0.0000 0.5265
0.5000 0.5000 0.7388
0.0000 0.0000 0.0468
0.5000 0.5000 0.1879
```

Values from the calculation:
As for the total energy: -15.5 eV for the cell shown. Its offset from the most stable computed form is 0.239 eV per atom. Its symmetry is Cmm2, No. 35. The uncorrected formation energy is -0.011 eV per atom.